LaMg2Tl: relaxed, GGA-PBEsol.

Its formation energy is -0.058 eV per atom. Its size of the total moment is 0.000 μB/atom. The relative energy among the computed polymorphs comes out at 18.59 kJ/mol of atoms.

The structure belongs to space group R3m (No. 160, hexagonal axes); the cell edges are 3.3462, 3.3462 and 32.6417 Å and the angles 90.00°, 90.00° and 120.00°. The inequivalent atoms are La at (0.0000, 0.0000, 0.0000), Mg at (0.0000, 0.0000, 0.2418), Mg at (0.0000, 0.0000, 0.4970) and Tl at (0.0000, 0.0000, 0.7544).